First-principles (PBE) data for an optimized crystal structure of Tm6Sb2P, as listed in Alexandria.

Summary:
The total energy comes out at -95.529 eV for the cell shown. The calculation puts the density of states at the Fermi level at 8.06 states/eV/f.u. The formation energy from raw total energies comes out at -0.8090 eV/atom.

Lattice parameters (Å, degrees): 6.327 7.887 9.746 90.00 91.45 90.00
Fractional coordinates of all 18 atoms:
Tm  0.876  0.973  0.234
Tm  0.865  0.680  0.549
Tm  0.856  0.683  0.953
Tm  0.644  0.183  0.547
Tm  0.635  0.180  0.951
Tm  0.624  0.473  0.266
Tm  0.124  0.027  0.766
Tm  0.135  0.320  0.451
Tm  0.144  0.317  0.047
Tm  0.356  0.817  0.453
Tm  0.365  0.820  0.049
Tm  0.376  0.527  0.734
Sb  0.920  0.383  0.752
Sb  0.580  0.883  0.748
Sb  0.420  0.117  0.252
Sb  0.080  0.617  0.248
P  0.500  0.500  0.000
P  0.000  0.000  0.500